1.
Below is a relaxed structure of CeEr5Cd4, with properties calculated at the GGA-PBE level.

Output
* space-group type: P4/mmm (123)

abc: 3.6608 3.6608 19.6978
angles: 90.00 90.00 90.00
Element x y z (fractional)
1 Ce 0.0000 0.0000 0.0000
2 Er 0.5000 0.5000 0.1152
3 Er 0.5000 0.5000 0.3090
4 Er 0.5000 0.5000 0.5000
5 Er 0.5000 0.5000 0.6910
6 Er 0.5000 0.5000 0.8848
7 Cd 0.0000 0.0000 0.2117
8 Cd 0.0000 0.0000 0.4040
9 Cd 0.0000 0.0000 0.5960
10 Cd 0.0000 0.0000 0.7883


2.
Below is a relaxed structure of CeErCd2, with properties calculated at the GGA-PBE level.

Output
* space-group type: Fm-3m (225)

abc: 5.3410 5.3410 5.3410
angles: 60.00 60.00 60.00
Element x y z (fractional)
1 Cd 0.2500 0.2500 0.2500
2 Cd 0.7500 0.7500 0.7500
3 Ce 0.5000 0.5000 0.5000
4 Er 0.0000 0.0000 0.0000


3.
Below is a relaxed structure of CeErCd2, with properties calculated at the GGA-PBE level.

Output
* space-group type: P4/mmm (123)

abc: 3.4138 3.4138 8.9177
angles: 90.00 90.00 90.00
Element x y z (fractional)
1 Cd 0.0000 0.0000 0.7619
2 Cd 0.0000 0.0000 0.2381
3 Ce 0.5000 0.5000 0.5000
4 Er 0.5000 0.5000 0.0000


4.
Below is a relaxed structure of CeErCd4, with properties calculated at the GGA-PBE level.

Output
* space-group type: F-43m (216)

abc: 5.9293 5.9293 5.9293
angles: 60.00 60.00 60.00
Element x y z (fractional)
1 Cd 0.6251 0.6251 0.1247
2 Cd 0.6251 0.1247 0.6251
3 Cd 0.6251 0.6251 0.6251
4 Cd 0.1247 0.6251 0.6251
5 Ce 0.2500 0.2500 0.2500
6 Er 0.0000 0.0000 0.0000


5.
Below is a relaxed structure of CeErCd17, with properties calculated at the GGA-PBE level.

Output
* space-group type: R3m (160)

abc: 7.6653 7.6653 7.6653
angles: 81.98 81.98 81.98
Element x y z (fractional)
1 Ce 0.6667 0.6667 0.6667
2 Er 0.3247 0.3247 0.3247
3 Cd 0.3000 0.0028 0.6957
4 Cd 0.6957 0.3000 0.0028
5 Cd 0.0028 0.6957 0.3000
6 Cd 0.3000 0.6957 0.0028
7 Cd 0.0028 0.3000 0.6957
8 Cd 0.6957 0.0028 0.3000
9 Cd 0.3458 0.8774 0.3458
10 Cd 0.3458 0.3458 0.8774
11 Cd 0.8774 0.3458 0.3458
12 Cd 0.6210 0.2093 0.6210
13 Cd 0.6210 0.6210 0.2093
14 Cd 0.2093 0.6210 0.6210
15 Cd 0.9760 0.5259 0.9760
16 Cd 0.9760 0.9760 0.5259
17 Cd 0.5259 0.9760 0.9760
18 Cd 0.9088 0.9088 0.9088
19 Cd 0.1047 0.1047 0.1047


6.
Below is a relaxed structure of CeErCd2, with properties calculated at the GGA-PBE level.

Output
* space-group type: R-3m (166)

abc: 3.4181 3.4181 10.7762
angles: 80.87 80.87 60.00
Element x y z (fractional)
1 Cd 0.2530 0.2530 0.2410
2 Cd 0.7470 0.7470 0.7590
3 Ce 0.5000 0.5000 0.5000
4 Er 0.0000 0.0000 0.0000


7.
Below is a relaxed structure of CeErCd14, with properties calculated at the GGA-PBE level.

Output
* space-group type: P4/mmm (123)

abc: 6.6480 6.6480 8.4451
angles: 90.00 90.00 89.99
Element x y z (fractional)
1 Ce 0.3750 0.3750 0.5000
2 Er 0.8750 0.8750 0.5000
3 Cd 0.8750 0.8750 0.0000
4 Cd 0.3750 0.3750 0.0000
5 Cd 0.8750 0.3750 0.5000
6 Cd 0.8750 0.3750 0.0000
7 Cd 0.3750 0.8750 0.5000
8 Cd 0.3750 0.8750 0.0000
9 Cd 0.6289 0.1211 0.2399
10 Cd 0.6289 0.1211 0.7601
11 Cd 0.1211 0.6289 0.2399
12 Cd 0.1211 0.6289 0.7601
13 Cd 0.6289 0.6289 0.2399
14 Cd 0.6289 0.6289 0.7601
15 Cd 0.1211 0.1211 0.2399
16 Cd 0.1211 0.1211 0.7601


8.
Below is a relaxed structure of Ce2ErCd4, with properties calculated at the GGA-PBE level.

Output
* space-group type: I4/mmm (139)

abc: 5.2225 5.2225 8.2529
angles: 108.45 108.45 90.00
Element x y z (fractional)
1 Cd 0.3916 0.8916 0.7832
2 Cd 0.8916 0.3916 0.7832
3 Cd 0.6084 0.1084 0.2168
4 Cd 0.1084 0.6084 0.2168
5 Ce 0.7432 0.7432 0.4865
6 Ce 0.2568 0.2568 0.5135
7 Er 0.0000 0.0000 0.0000


9.
Below is a relaxed structure of Ce2Er2Cd15, with properties calculated at the GGA-PBE level.

Output
* space-group type: R-3m (166)

abc: 7.8599 7.8599 7.8599
angles: 79.67 79.67 79.67
Element x y z (fractional)
1 Ce 0.3247 0.3247 0.3247
2 Ce 0.6753 0.6753 0.6753
3 Er 0.0993 0.0993 0.0993
4 Er 0.9007 0.9007 0.9007
5 Cd 0.5000 0.0000 0.0000
6 Cd 0.0000 0.0000 0.5000
7 Cd 0.0000 0.5000 0.0000
8 Cd 0.0000 0.7066 0.2934
9 Cd 0.7066 0.2934 0.0000
10 Cd 0.2934 0.0000 0.7066
11 Cd 0.2934 0.7066 0.0000
12 Cd 0.7066 0.0000 0.2934
13 Cd 0.0000 0.2934 0.7066
14 Cd 0.1517 0.6297 0.6297
15 Cd 0.6297 0.6297 0.1517
16 Cd 0.6297 0.1517 0.6297
17 Cd 0.8483 0.3703 0.3703
18 Cd 0.3703 0.3703 0.8483
19 Cd 0.3703 0.8483 0.3703


10.
Below is a relaxed structure of CeEr2Cd6, with properties calculated at the GGA-PBE level.

Output
* space-group type: P6/mmm (191)

abc: 3.3619 8.6814 8.6814
angles: 120.00 90.00 90.00
Element x y z (fractional)
1 Ce 0.0000 0.0000 0.0000
2 Er 0.0000 0.3333 0.6667
3 Er 0.0000 0.6667 0.3333
4 Cd 0.5000 0.3365 0.3365
5 Cd 0.5000 0.6635 0.6635
6 Cd 0.5000 0.0000 0.6635
7 Cd 0.5000 0.6635 0.0000
8 Cd 0.5000 0.3365 0.0000
9 Cd 0.5000 0.0000 0.3365


11.
Below is a relaxed structure of CeErCd4, with properties calculated at the GGA-PBE level.

Output
* space-group type: Pmmm (47)

abc: 3.3504 5.0354 8.7388
angles: 90.00 89.99 90.00
Element x y z (fractional)
1 Ce 0.5000 0.0000 0.0000
2 Er 0.5000 0.5000 0.5000
3 Cd 0.0004 0.0000 0.6622
4 Cd 0.0005 0.5000 0.8282
5 Cd 0.9996 0.0000 0.3378
6 Cd 0.9995 0.5000 0.1718


12.
Below is a relaxed structure of CeEr5Cd6, with properties calculated at the GGA-PBE level.

Output
* space-group type: Cmmm (65)

abc: 5.2520 7.5176 8.3300
angles: 90.00 71.62 90.00
Element x y z (fractional)
1 Cd 0.8294 0.7430 0.3412
2 Cd 0.8294 0.2570 0.3412
3 Cd 0.5000 0.2560 0.0000
4 Cd 0.5000 0.7440 0.0000
5 Cd 0.1706 0.7430 0.6588
6 Cd 0.1706 0.2570 0.6588
7 Ce 0.0000 0.0000 0.0000
8 Er 0.6632 0.5000 0.6735
9 Er 0.3327 0.0000 0.3346
10 Er 0.0000 0.5000 0.0000
11 Er 0.6673 0.0000 0.6654
12 Er 0.3368 0.5000 0.3265


13.
Below is a relaxed structure of CeErCd2, with properties calculated at the GGA-PBE level.

Output
* space-group type: P4/mmm (123)

abc: 4.5754 4.7912 4.7912
angles: 90.00 90.00 90.00
Element x y z (fractional)
1 Cd 0.0000 0.0000 0.5000
2 Cd 0.0000 0.5000 0.0000
3 Ce 0.5000 0.0000 0.0000
4 Er 0.5000 0.5000 0.5000


14.
Below is a relaxed structure of CeErCd4, with properties calculated at the GGA-PBE level.

Output
* space-group type: Immm (71)

abc: 6.0521 6.0511 5.0584
angles: 65.27 65.24 92.17
Element x y z (fractional)
1 Ce 0.5013 0.4972 0.9982
2 Er 0.0013 0.9973 0.4982
3 Cd 0.5847 0.9138 0.2482
4 Cd 0.4178 0.0808 0.7481
5 Cd 0.0849 0.4141 0.7478
6 Cd 0.9177 0.5805 0.2484


15.
Below is a relaxed structure of Ce2ErCd6, with properties calculated at the GGA-PBE level.

Output
* space-group type: P6/mmm (191)

abc: 3.3066 8.7974 8.7974
angles: 60.00 89.99 89.99
Element x y z (fractional)
1 Ce 0.0000 0.3333 0.3333
2 Ce 0.0000 0.6667 0.6667
3 Er 0.0000 0.0000 0.0000
4 Cd 0.4989 0.6702 0.0000
5 Cd 0.5011 0.0000 0.3298
6 Cd 0.5011 0.3298 0.0000
7 Cd 0.5000 0.6701 0.3299
8 Cd 0.4989 0.0000 0.6702
9 Cd 0.5000 0.3299 0.6701


16.
Below is a relaxed structure of CeErCd5, with properties calculated at the GGA-PBE level.

Output
* space-group type: C2/m (12)

abc: 5.5694 5.5694 6.8047
angles: 99.56 99.56 112.86
Element x y z (fractional)
1 Ce 0.0000 0.0000 0.0000
2 Er 0.5000 0.5000 0.5000
3 Cd 0.4932 0.9215 0.2332
4 Cd 0.9215 0.4932 0.2332
5 Cd 0.0000 0.0000 0.5000
6 Cd 0.0785 0.5068 0.7668
7 Cd 0.5068 0.0785 0.7668


17.
Below is a relaxed structure of CeEuErCd, with properties calculated at the GGA-PBE level.

Output
* space-group type: F-43m (216)

abc: 5.5528 5.5528 5.5528
angles: 60.00 60.00 60.00
Element x y z (fractional)
1 Eu 0.5000 0.5000 0.5000
2 Cd 0.7500 0.7500 0.7500
3 Ce 0.0000 0.0000 0.0000
4 Er 0.2500 0.2500 0.2500


18.
Below is a relaxed structure of CeErCdGa, with properties calculated at the GGA-PBE level.

Output
* space-group type: F-43m (216)

abc: 5.2124 5.2124 5.2124
angles: 60.00 60.00 60.00
Element x y z (fractional)
1 Cd 0.7500 0.7500 0.7500
2 Ga 0.2500 0.2500 0.2500
3 Ce 0.0000 0.0000 0.0000
4 Er 0.5000 0.5000 0.5000


19.
Below is a relaxed structure of CeErCdGe, with properties calculated at the GGA-PBE level.

Output
* space-group type: F-43m (216)

abc: 5.1848 5.1848 5.1848
angles: 60.00 60.00 60.00
Element x y z (fractional)
1 Ge 0.2500 0.2500 0.2500
2 Cd 0.7500 0.7500 0.7500
3 Ce 0.0000 0.0000 0.0000
4 Er 0.5000 0.5000 0.5000


20.
Below is a relaxed structure of CeEr2CdHg4, with properties calculated at the GGA-PBE level.

Output
* space-group type: R-3m (166)

abc: 5.0946 5.0946 9.5050
angles: 74.45 74.45 60.00
Element x y z (fractional)
1 Ce 0.0000 0.0000 0.0000
2 Er 0.7593 0.7593 0.7220
3 Er 0.2407 0.2407 0.2780
4 Cd 0.5000 0.5000 0.5000
5 Hg 0.3792 0.3792 0.8624
6 Hg 0.8758 0.8758 0.3727
7 Hg 0.1242 0.1242 0.6273
8 Hg 0.6208 0.6208 0.1376


21.
Below is a relaxed structure of CeHoErCd, with properties calculated at the GGA-PBE level.

Output
* space-group type: F-43m (216)

abc: 5.3570 5.3570 5.3570
angles: 60.00 60.00 60.00
Element x y z (fractional)
1 Cd 0.7500 0.7500 0.7500
2 Ho 0.5000 0.5000 0.5000
3 Ce 0.2500 0.2500 0.2500
4 Er 0.0000 0.0000 0.0000


22.
Below is a relaxed structure of Ce2ErCd2In2, with properties calculated at the GGA-PBE level.

Output
* space-group type: R-3m (166)

abc: 4.8172 4.8172 9.3634
angles: 75.09 75.09 60.00
Element x y z (fractional)
1 Ce 0.1429 0.1429 0.5714
2 Ce 0.8571 0.8571 0.4286
3 Er 0.0000 0.0000 0.0000
4 Cd 0.5880 0.5880 0.2361
5 Cd 0.4120 0.4120 0.7639
6 In 0.7286 0.7286 0.8141
7 In 0.2714 0.2714 0.1859


23.
Below is a relaxed structure of CeErCdIr, with properties calculated at the GGA-PBE level.

Output
* space-group type: F-43m (216)

abc: 5.0789 5.0789 5.0789
angles: 60.00 60.00 60.00
Element x y z (fractional)
1 Cd 0.7500 0.7500 0.7500
2 Ir 0.2500 0.2500 0.2500
3 Ce 0.0000 0.0000 0.0000
4 Er 0.5000 0.5000 0.5000


24.
Below is a relaxed structure of CeErLuCd, with properties calculated at the GGA-PBE level.

Output
* space-group type: F-43m (216)

abc: 5.4043 5.4043 5.4043
angles: 60.00 60.00 60.00
Element x y z (fractional)
1 Er 0.5000 0.5000 0.5000
2 Lu 0.2500 0.2500 0.2500
3 Ce 0.0000 0.0000 0.0000
4 Cd 0.7500 0.7500 0.7500


25.
Below is a relaxed structure of CeErMgCd, with properties calculated at the GGA-PBE level.

Output
* space-group type: F-43m (216)

abc: 5.3500 5.3500 5.3500
angles: 60.00 60.00 60.00
Element x y z (fractional)
1 Mg 0.2500 0.2500 0.2500
2 Cd 0.7500 0.7500 0.7500
3 Ce 0.0000 0.0000 0.0000
4 Er 0.5000 0.5000 0.5000


The following magnetization values (in μB per formula unit) correspond, in order, to the records above: 0.38, 1.70, 0.95, 0.99, 1.14, 0.90, 1.07, 2.59, 2.89, 1.14, 1.28, 1.76, 1.26, 1.06, 2.49, 1.04, 8.36, 0.67, 0.94, 1.24, 0.00, 2.29, 0.78, 1.51, 1.20.
The following VASP energy values (in eV/atom) correspond, in order, to the records above: -3.468, -3.289, -3.300, -2.565, -1.473, -3.160, -1.569, -2.923, -1.941, -2.561, -2.629, -3.125, -3.250, -2.615, -2.700, -2.202, -5.352, -3.966, -4.418, -2.496, -3.927, -3.578, -5.502, -3.978, -3.347.
The following DOS(E_F) values (in states/eV/cell) correspond, in order, to the records above: 11.6, 10.1, 7.4, 9.2, 13.2, 6.6, 10.7, 15.0, 23.2, 11.6, 9.1, 18.5, 8.6, 8.6, 15.8, 9.5, 5.1, 8.6, 7.6, 10.9, 8.1, 12.6, 6.6, 7.1, 9.7.